A relaxed structure of Sc3Ag, computed with PBE.

Cell lengths 3.992, 4.694, 4.692 Å; angles 90.00, 90.00, 90.00 degrees
Element x y z (fractional)
Sc 0.500 0.500 0.917
Ag 0.000 0.000 0.917
Sc 0.000 0.500 0.417
Sc 0.500 0.000 0.417

## Properties
- Formation energy from the elements: -0.0407 eV/atom
- Space group: No. 123
- N(E_F): 1.410 states/eV/atom
- Energy relative to the lowest polymorph listed for this composition: 90.4 meV per atom
- Size of the total moment: 0.93 Bohr magnetons per cell

A relaxed structure of Ce4Ir3Pt, computed with PBE.

Cell lengths 3.867, 4.139, 11.210 Å; angles 90.00, 90.00, 90.00 degrees
Element x y z (fractional)
Ir 0.000 0.000 0.402
Ce 0.500 0.000 0.639
Ce 0.000 0.500 0.859
Ce 0.000 0.000 0.140
Ce 0.500 0.500 0.369
Ir 0.500 0.000 0.902
Ir 0.000 0.500 0.596
Pt 0.500 0.500 0.093

## Properties
- Formation energy from the elements: -0.8761 eV/atom
- Space group: No. 25
- N(E_F): 1.630 states/eV/atom
- Size of the total moment: 0.66 Bohr magnetons per cell